Computed, not measured: crystalline RbInGe2Cl8 at its relaxed geometry at the PBE level of DFT.

Values from the calculation:
E_tot in eV/atom: -3.38
SG: P-1, No. 2

a = 6.482 Å, b = 6.910 Å, c = 9.209 Å
α = 82.06°, β = 84.81°, γ = 86.46°
Atoms (fractional coordinates):
Cl: 0.157 0.753 0.218
Cl: 0.328 0.223 0.972
Cl: 0.843 0.247 0.782
Ge: 0.507 0.586 0.241
In: 0.000 0.000 0.000
Ge: 0.493 0.414 0.759
Cl: 0.583 0.758 0.425
Cl: 0.417 0.242 0.575
Cl: 0.154 0.799 0.820
Cl: 0.672 0.777 0.028
Cl: 0.846 0.201 0.180
Rb: 0.000 0.000 0.500